(1)
K2TaIr: relaxed, PBE-GGA.

Calculated values
- Energy above the most stable polymorph in this dataset: 729 meV/atom

Lattice parameters (Å, degrees): 2.9164 2.9164 36.2745 90.00 90.00 120.00
Space group R-3m (No. 166, hexagonal axes)
One atom of each set of equivalent atoms:
K 0.0000 0.0000 0.2418
Ta 0.0000 0.0000 0.0000
Ir 0.0000 0.0000 0.5000

(2)
K2TaIr: relaxed, PBE-GGA.

Calculated values
- Energy above the most stable polymorph in this dataset: 804 meV/atom

Lattice parameters (Å, degrees): 12.230 12.230 4.767 90.00 90.00 90.00
Space group I-42d (No. 122)
One atom of each set of equivalent atoms:
K 0.092 0.250 0.125
Ta 0.000 0.000 0.500
Ir 0.000 0.000 0.000

(3)
K2TaIr: relaxed, PBE-GGA.

Calculated values
- Energy above the most stable polymorph in this dataset: 715 meV/atom

Lattice parameters (Å, degrees): 2.979 4.917 12.165 90.00 90.00 90.00
Space group Cmmm (No. 65)
One atom of each set of equivalent atoms:
K 0.000 0.000 0.222
Ta 0.000 0.500 0.500
Ir 0.000 0.500 0.000

(4)
KTa3Ir: relaxed, PBE-GGA.

Calculated values
- Energy above the most stable polymorph in this dataset: 1684 meV/atom

Lattice parameters (Å, degrees): 4.519 4.519 4.519 90.00 90.00 90.00
Space group Pm-3m (No. 221)
One atom of each set of equivalent atoms:
K 0.000 0.000 0.000
Ta 0.000 0.000 0.500
Ir 0.500 0.500 0.500

(5)
KTaIr3: relaxed, PBE-GGA.

Calculated values
- Energy above the most stable polymorph in this dataset: 0 meV/atom

Lattice parameters (Å, degrees): 4.891 4.891 4.891 90.00 90.00 90.00
Space group Pm-3m (No. 221)
One atom of each set of equivalent atoms:
K 0.000 0.000 0.000
Ta 0.500 0.500 0.500
Ir 0.000 0.500 0.500

(6)
K2TaIr: relaxed, PBE-GGA.

Calculated values
- Energy above the most stable polymorph in this dataset: 381 meV/atom

Lattice parameters (Å, degrees): 3.601 6.238 12.112 90.00 90.00 90.00
Space group Imm2 (No. 44)
One atom of each set of equivalent atoms:
K 0.000 0.000 0.000
K 0.000 0.500 0.199
Ta 0.000 0.000 0.382
Ir 0.000 0.500 0.754

(7)
K2TaIr: relaxed, PBE-GGA.

Calculated values
- Energy above the most stable polymorph in this dataset: 32 meV/atom

Lattice parameters (Å, degrees): 3.269 4.024 20.752 90.00 90.00 90.00
Space group Immm (No. 71)
One atom of each set of equivalent atoms:
K 0.000 0.000 0.147
Ta 0.000 0.500 0.000
Ir 0.000 0.500 0.500

(8)
K2TaIr: relaxed, PBE-GGA.

Calculated values
- Energy above the most stable polymorph in this dataset: 530 meV/atom

Lattice parameters (Å, degrees): 3.865 3.865 6.015 90.00 90.00 90.00
Space group P4/mmm (No. 123)
One atom of each set of equivalent atoms:
K 0.000 0.500 0.000
Ta 0.000 0.000 0.500
Ir 0.500 0.500 0.500

For reference, magnetic moment by record: 0.5; 1.0; 0.0; 0.0; 0.0; 1.1; 0.6; 0.3 μB per formula unit.
For reference, calculated volume by record: 267.2; 713.0; 178.2; 92.3; 117.0; 272.1; 273.0; 89.9 Å³/cell.
For reference, energy relative to the elements by record: 1.077; 1.153; 1.063; 2.926; 1.117; 0.729; 0.381; 0.879 eV/atom.